(1)
! Tb8Sm2Sc3, relaxed, DFT PBE; values from VASP
! E above lowest polymorph ... 0.0652 eV/atom
! Total energy ... -0.1758 Ha/atom
! ΔE_f ... 0.2518 eV per atom
! D(E_F) ... 19.397 states/eV/cell
&SYSTEM
  ibrav = 0, nat = 13, ntyp = 3
/
ATOMIC_SPECIES
Tb 158.93 Tb.upf
Sm 150.36 Sm.upf
Sc 44.96 Sc.upf
CELL_PARAMETERS angstrom
-0.533 -6.446 -1.179
8.053 -0.050 -3.368
-1.190 -0.365 8.471
ATOMIC_POSITIONS crystal
Tb 0.889 0.589 0.177
Tb 0.111 0.411 0.823
Tb 0.795 0.190 0.380
Tb 0.205 0.810 0.620
Tb 0.575 0.574 0.782
Tb 0.575 0.208 0.782
Tb 0.425 0.792 0.218
Tb 0.425 0.426 0.218
Sm 0.286 0.202 0.405
Sm 0.714 0.798 0.595
Sc 0.500 0.000 0.000
Sc 0.000 0.163 0.000
Sc 0.000 0.837 0.000


(2)
! NaSmS2O8, relaxed, DFT PBE; values from VASP
! Total energy ... -0.2388 Ha/atom
! D(E_F) ... 0.000 states/eV/cell
! Energy relative to the elements, uncorrected ... -24.0 eV/f.u.
&SYSTEM
  ibrav = 0, nat = 12, ntyp = 4
/
ATOMIC_SPECIES
Na 22.99 Na.upf
Sm 150.36 Sm.upf
S 32.06 S.upf
O 16.00 O.upf
CELL_PARAMETERS angstrom
5.465 0.000 0.000
-2.733 4.733 0.000
0.000 0.000 7.186
ATOMIC_POSITIONS crystal
Na 0.000 0.000 0.000
Sm 0.000 0.000 0.500
S 0.667 0.333 0.216
S 0.333 0.667 0.784
O 0.333 0.667 0.985
O 0.371 0.187 0.292
O 0.813 0.184 0.292
O 0.667 0.333 0.015
O 0.187 0.816 0.708
O 0.629 0.813 0.708
O 0.184 0.371 0.708
O 0.816 0.629 0.292